[1]
This record from the Alexandria database describes an optimized crystal structure of PbW2Au. The functional is PBE-GGA.

* uncorrected energy: -29.51 eV for the cell shown
* formation energy from the elements: 0.846 eV/atom
* density: 16.85 g/cm³

a b c (Å): 2.9219 4.7960 5.4613
angles (deg): 90.00 96.19 90.00
With the nearest neighbours (Å) after each atom.
Sites, in units of the cell vectors:
Pb1 0.0000 0.0000 0.0000  2 Pb 2.92, 4 W 2.93, 4 Au 2.95-3.23
W1 0.1904 0.5000 0.7202  1 W 2.54
W2 0.8096 0.5000 0.2798  1 W 2.54
Au1 0.5000 0.0000 0.5000  4 W 2.87, 2 Au 2.92, 2 Pb 2.95

---

[2]
This record from the Alexandria database describes an optimized crystal structure of La2PaCr2N6. The functional is PBE-GGA.

* uncorrected energy: -99.32 eV for the cell shown
* density: 6.97 g/cm³

a b c (Å): 6.7631 6.7631 6.7631
angles (deg): 49.82 49.82 49.82
With the nearest neighbours (Å) after each atom.
Sites, in units of the cell vectors:
La1 0.2112 0.2112 0.2112  9 N 2.66-2.90
La2 0.7888 0.7888 0.7888  9 N 2.66-2.90
Pa1 0.0000 0.0000 0.0000  6 N 2.29
Cr1 0.4035 0.4035 0.4035  3 N 1.72
Cr2 0.5965 0.5965 0.5965  3 N 1.72
N1 0.2342 0.7448 0.7448  1 Cr 1.72
N2 0.2552 0.2552 0.7658  1 Cr 1.72
N3 0.2552 0.7658 0.2552  1 Cr 1.72
N4 0.7448 0.2342 0.7448  1 Cr 1.72
N5 0.7448 0.7448 0.2342  1 Cr 1.72
N6 0.7658 0.2552 0.2552  1 Cr 1.72

---

[3]
This record from the Alexandria database describes an optimized crystal structure of TlNiPt. The functional is PBE-GGA.

* distance to the lowest polymorph of the same formula: 24.3 meV per atom
* uncorrected energy: -13.69 eV for the cell shown
* formation energy from the elements: 0.165 eV/atom
* density: 13.76 g/cm³

a b c (Å): 4.2762 4.2762 4.2762
angles (deg): 60.00 60.00 60.00
With the nearest neighbours (Å) after each atom.
Sites, in units of the cell vectors:
Tl1 0.0000 0.0000 0.0000  4 Ni 2.62
Ni1 0.2500 0.2500 0.2500  4 Tl 2.62, 4 Pt 2.62
Pt1 0.5000 0.5000 0.5000  4 Ni 2.62